{
  "formula": "FeGeF2",
  "functional": "PBE+U",
  "state": "relaxed",
  "lattice": [[-2.8040, 2.8040, 4.8976], [2.8040, -2.8040, 4.8976], [2.8040, 2.8040, -4.8976]],
  "species": ["Fe", "Fe", "Ge", "Ge", "F", "F", "F", "F"],
  "frac_coords": [[0.0000, 0.0000, 0.0000], [0.7500, 0.2500, 0.5000], [0.2500, 0.7500, 0.5000], [0.5000, 0.5000, 0.0000], [0.3750, 0.2401, 0.3651], [0.7599, 0.1250, 0.1349], [0.8750, 0.0099, 0.6349], [0.9901, 0.6250, 0.8651]],
  "dos_ef_per_ev_atom": 0.167,
  "magmom_total_mub_per_atom": 0.994,
  "de_polymorph_mev_per_atom": 180
}